1.
A plane-wave DFT calculation with GGA-PBE was carried out for crystalline MgZrTa2 at its relaxed geometry.

Lattice parameters (Å, degrees): 10.6928 10.6928 10.6928 15.89 15.89 15.89
Closest atoms and distances in Å follow each position.
Element x y z (fractional)
Mg 0.0000 0.0000 0.0000  6 Mg 2.96, 6 Ta 3.09
Zr 0.5000 0.5000 0.5000  6 Zr 2.96, 6 Ta 3.19
Ta 0.2519 0.2519 0.2519  6 Ta 2.96, 3 Mg 3.09, 3 Zr 3.19
Ta 0.7481 0.7481 0.7481  6 Ta 2.96, 3 Mg 3.09, 3 Zr 3.19

2.
A plane-wave DFT calculation with GGA-PBE was carried out for crystalline MgZrTa2 at its relaxed geometry.

Lattice parameters (Å, degrees): 5.5807 5.5807 2.8451 90.00 90.00 116.29
Closest atoms and distances in Å follow each position.
Element x y z (fractional)
Mg 0.0000 0.0000 0.0000  2 Mg 2.85, 2 Zr 2.95, 8 Ta 3.13
Zr 0.5000 0.5000 0.0000  2 Zr 2.85, 2 Mg 2.95, 8 Ta 3.13
Ta 0.0000 0.5000 0.5000  4 Ta 2.85-2.95, 4 Zr 3.13, 4 Mg 3.13
Ta 0.5000 0.0000 0.5000  4 Ta 2.85-2.95, 4 Zr 3.13, 4 Mg 3.13

no.,N(E_F) (states/eV/f.u.),calculated volume (Å³ per cell),energy of formation (eV per atom)
1,5.1,79.86,0.30
2,4.6,79.44,0.29